# 1
A plane-wave DFT calculation with SCAN was carried out for a crystal of La2AuBr relaxed with PBEsol.

Calculated values
- space-group type = P4/mmm (123)
- energy above the lowest structure with this stoichiometry (meV per atom) = 0
- total magnetization (μB/f.u.) = 0.0
- E_form (uncorrected) (eV per atom) = -1.312

abc: 4.2605 4.2605 6.2254
angles: 90.00 90.00 90.00
Closest atoms and distances in Å follow each position.
Element x y z (fractional)
Au: 0.0000 0.0000 0.0000  6 La 3.01-3.11
Br: 0.5000 0.5000 0.5000  6 La 3.01-3.11
La: 0.0000 0.0000 0.5000  4 Br 3.01, 2 Au 3.11
La: 0.5000 0.5000 0.0000  4 Au 3.01, 2 Br 3.11


# 2
A plane-wave DFT calculation with SCAN was carried out for a crystal of LaAu2Br relaxed with PBEsol.

Calculated values
- space-group type = P4/mmm (123)
- energy above the lowest structure with this stoichiometry (meV per atom) = 0
- total magnetization (μB/f.u.) = 0.0
- E_form (uncorrected) (eV per atom) = -0.876

abc: 4.1575 4.1575 5.2364
angles: 90.00 90.00 90.00
Closest atoms and distances in Å follow each position.
Element x y z (fractional)
Au: 0.0000 0.5000 0.0000  4 Au 2.94
Au: 0.5000 0.0000 0.0000  4 Au 2.94
Br: 0.5000 0.5000 0.5000  4 La 2.94
La: 0.0000 0.0000 0.5000  4 Br 2.94


# 3
A plane-wave DFT calculation with SCAN was carried out for a crystal of La2AuBr relaxed with PBEsol.

Calculated values
- space-group type = R-3m (166)
- energy above the lowest structure with this stoichiometry (meV per atom) = 20
- total magnetization (μB/f.u.) = 0.0
- E_form (uncorrected) (eV per atom) = -1.292

abc: 4.3489 4.3489 7.4763
angles: 73.09 73.09 60.00
Closest atoms and distances in Å follow each position.
Element x y z (fractional)
Au: 0.0000 0.0000 0.0000  6 La 3.03
Br: 0.5000 0.5000 0.5000  6 La 3.11
La: 0.7467 0.7467 0.7598  3 Au 3.03, 3 Br 3.11
La: 0.2533 0.2533 0.2402  3 Au 3.03, 3 Br 3.11